Compound: K2FeH6
Source: Alexandria
Functional: PBE
Structure: optimized geometry

```
K2FeH6
1.0
3.1150 0.0000 0.0000
0.0000 5.3913 -2.8925
0.0000 -0.4075 5.7111
K Fe H
2 1 6
Cartesian
1.5575 1.4551 2.7122 K
1.5575 3.5286 0.1064 K
0.0000 0.0000 0.0000 Fe
0.0000 -0.0276 4.1781 H
0.0000 1.4874 0.5311 H
0.0000 5.0114 -1.3595 H
1.5575 0.2409 5.3630 H
0.0000 3.4964 2.2875 H
1.5574 4.7429 -2.5444 H
```

Summary:
The space-group type is Cmmm. For the uncorrected energy, the calculation gives -0.127 Ha/atom.

Compound: PrY5Tm5
Source: Alexandria
Functional: PBE
Structure: optimized geometry

```
PrY5Tm5
1.0
5.8899 0.0000 0.0000
-2.9449 9.4176 0.4278
0.0000 -2.7856 6.3469
Pr Y Tm
1 5 5
Cartesian
0.0000 0.0000 0.0000 Pr
2.9449 5.8464 0.6906 Y
2.9449 4.4284 3.9116 Y
2.9449 0.0000 0.0000 Y
0.0000 2.2036 2.8631 Y
0.0000 0.7856 6.0841 Y
2.9449 2.7043 1.2312 Tm
2.9449 0.5849 4.0807 Tm
0.0000 -1.3928 3.1734 Tm
0.0000 6.0472 2.6940 Tm
0.0000 3.9277 5.5435 Tm
```

Summary:
The space-group type is C2/m. As for the energy of formation: 0.2862 eV/atom.

Compound: SrSc2Ni
Source: Alexandria
Functional: PBE
Structure: optimized geometry

```
SrSc2Ni
1.0
8.0129 1.4280 -0.1715
5.3823 6.1054 0.1715
-6.2940 -4.4844 2.5595
Ni Sc Sr
1 2 1
Cartesian
2.6583 2.5620 1.3655 Ni
1.3490 0.7587 0.0000 Sc
4.1132 0.3018 1.1940 Sc
5.6783 3.1935 0.0000 Sr
```

Summary:
The space-group type is Imm2. The distance to the lowest polymorph of the same formula comes out at 0.123 eV per atom. As for the energy of formation: 0.0807 eV/atom.

Compound: CeMgAgHg
Source: Alexandria
Functional: PBE
Structure: optimized geometry

```
CeMgAgHg
1.0
-1.4550 2.9033 3.8652
-3.5130 -1.6615 3.2225
1.2906 -1.2462 4.7188
Ag Mg Hg Ce
1 1 1 1
Cartesian
0.0000 0.0000 0.0000 Ag
-1.8387 -0.0022 5.9032 Mg
-2.7580 -0.0033 8.8548 Hg
-0.9193 -0.0011 2.9516 Ce
```

Summary:
The space-group type is F-43m. The distance to the lowest polymorph of the same formula comes out at 0.151 eV per atom. As for the energy of formation: -0.1371 eV/atom.

Compound: HoZnAgIr
Source: Alexandria
Functional: PBE
Structure: optimized geometry

```
HoZnAgIr
1.0
4.6940 0.0000 0.0000
2.3470 4.0651 0.0000
2.3470 1.3550 3.8326
Zn Ir Ho Ag
1 1 1 1
Cartesian
2.3470 1.3550 0.9582 Zn
4.6940 2.7101 1.9163 Ir
7.0410 4.0651 2.8745 Ho
0.0000 0.0000 0.0000 Ag
```

Summary:
The space-group type is F-43m. As for the energy of formation: -0.3449 eV/atom.

Compound: Tl2Te2PbO6
Source: Alexandria
Functional: PBE
Structure: optimized geometry

```
Tl2Te2PbO6
1.0
6.3153 0.0000 0.0000
-3.1577 5.4838 -0.1801
0.0000 -3.3926 6.9158
Tl Te Pb O
2 2 1 6
Cartesian
3.1577 1.8269 0.2976 Tl
0.0000 0.2643 6.4381 Tl
3.1577 1.9887 4.2424 Te
0.0000 0.1025 2.4933 Te
3.1577 -1.6963 3.4579 Pb
3.1577 0.2968 5.0905 O
1.4884 -0.7760 1.7222 O
-1.6693 2.8672 5.0136 O
1.6693 2.8672 5.0136 O
4.8269 -0.7760 1.7222 O
0.0000 1.7944 1.6452 O
```

Summary:
The space-group type is C2/m. The uncorrected formation energy is -10.627 eV/f.u.

Compound: Mg6CdIn12
Source: Alexandria
Functional: PBE
Structure: optimized geometry

```
Mg6CdIn12
1.0
-4.6128 6.9032 0.6415
-2.5063 -5.0645 6.1166
7.8075 2.2233 1.8557
Mg Cd In
6 1 12
Cartesian
-1.3574 2.6528 6.8141 Mg
-1.2045 2.2941 1.6423 Mg
-0.3287 -0.6779 2.9738 Mg
2.0459 1.4092 1.7998 Mg
1.8929 1.7679 6.9716 Mg
1.0171 4.7398 5.6401 Mg
0.0000 0.0000 0.0000 Cd
-1.6243 4.1707 4.0544 In
-0.3778 -0.2161 6.0234 In
3.1516 2.8282 4.3058 In
2.3127 -0.1087 4.5595 In
1.0662 4.2781 2.5905 In
-2.4632 1.2338 4.3081 In
-4.4442 3.6316 5.5573 In
-2.9981 -1.9217 4.8156 In
-1.4184 5.7164 1.0875 In
5.1326 0.4304 3.0566 In
3.6865 5.9837 3.7983 In
2.1069 -1.6544 7.5264 In
```

Summary:
The space-group type is R-3. The distance to the lowest polymorph of the same formula comes out at 0.046 eV per atom. As for the energy of formation: 0.0097 eV/atom.

Compound: SrCa2Cl6
Source: Alexandria
Functional: PBE
Structure: optimized geometry

```
SrCa2Cl6
1.0
5.1934 0.0000 0.0000
2.5967 6.9542 -0.3487
2.5967 2.4921 7.8204
Sr Ca Cl
1 2 6
Cartesian
2.5967 4.7231 3.7358 Sr
5.1934 7.4644 6.7109 Ca
5.1934 1.9819 0.7608 Ca
7.7901 6.6852 6.7359 Cl
2.5967 2.7611 0.7358 Cl
7.7901 6.3549 1.2933 Cl
5.1934 6.3095 4.2823 Cl
2.5967 3.0914 6.1784 Cl
5.1934 3.1368 3.1894 Cl
```

Summary:
The space-group type is C2/m. The uncorrected formation energy is -21.510 eV/f.u.

Compound: Ni7PdRh4
Source: Alexandria
Functional: PBE
Structure: optimized geometry

```
Ni7PdRh4
1.0
4.4555 0.0000 0.0000
2.2277 8.0661 -0.5443
2.2277 -0.0557 4.4874
Ni Pd Rh
7 1 4
Cartesian
6.6832 7.3375 1.7465 Ni
2.2277 0.6729 2.1966 Ni
2.2277 4.9530 1.0497 Ni
6.6832 3.0574 2.8934 Ni
4.4555 4.2290 3.1799 Ni
2.2277 0.0000 0.0000 Ni
4.4555 3.7814 0.7632 Ni
0.0000 0.0000 0.0000 Pd
4.4555 1.8075 2.2383 Rh
4.4555 6.2029 1.7048 Rh
6.6832 5.5558 3.5556 Rh
2.2277 2.4546 0.3875 Rh
```

Summary:
The space-group type is C2/m. As for the energy of formation: 0.3522 eV/atom.

Compound: Rb2ZrSe8
Source: Alexandria
Functional: PBE
Structure: optimized geometry

```
Rb2ZrSe8
1.0
-5.1836 -1.1925 3.8445
3.7346 0.9033 5.2467
-2.3746 8.1531 2.6874
Rb Zr Se
2 1 8
Cartesian
-1.9228 1.8514 4.5033 Rb
-1.9009 6.0125 7.2753 Rb
-3.8237 7.8638 11.7786 Zr
-3.0876 2.4933 8.3349 Se
-5.4970 1.1922 5.0825 Se
-0.7360 5.3705 3.4437 Se
1.5910 1.4162 3.6016 Se
1.6734 6.6716 6.6961 Se
-3.9998 6.8653 4.4937 Se
0.1761 0.9986 7.2849 Se
-5.4147 6.4476 8.1769 Se
```

Summary:
The space-group type is P-1. The uncorrected formation energy is -7.307 eV/f.u.

Compound: AcCuSn
Source: Alexandria
Functional: PBE
Structure: optimized geometry

```
AcCuSn
1.0
3.6115 0.0000 0.0000
0.0000 3.6115 0.0000
-1.8057 -1.8057 5.9891
Ac Sn Cu
1 1 1
Cartesian
1.8057 1.8057 5.8344 Ac
1.8057 1.8057 2.3822 Sn
0.0000 0.0000 3.7616 Cu
```

Summary:
The space-group type is I4mm. The distance to the lowest polymorph of the same formula comes out at 0.362 eV per atom. As for the energy of formation: -0.1867 eV/atom.

Compound: TbZnGa
Source: Alexandria
Functional: PBE
Structure: optimized geometry

```
TbZnGa
1.0
-2.4106 -2.4893 2.9183
-2.4447 -3.5086 -1.4958
1.2873 -4.2344 0.9679
Zn Tb Ga
1 1 1
Cartesian
-0.8920 -2.5581 0.5976 Zn
-1.7840 -5.1162 1.1952 Tb
0.0000 0.0000 0.0000 Ga
```

Summary:
The space-group type is F-43m. As for the energy of formation: -0.4145 eV/atom.

Compound: TiHgB2
Source: Alexandria
Functional: PBE
Structure: optimized geometry

```
TiHgB2
1.0
3.7919 0.0000 0.0000
0.0000 3.7919 0.0000
1.8959 1.8959 8.3072
B Hg Ti
4 2 2
Cartesian
1.8975 0.9480 2.0768 B
1.8944 2.8439 2.0768 B
2.8439 3.7903 6.2304 B
4.7398 3.7934 6.2304 B
0.0000 0.0000 0.0000 Hg
3.7919 1.8959 4.1536 Hg
1.8959 1.8959 0.0000 Ti
1.8959 3.7919 4.1536 Ti
```

Summary:
The space-group type is I4_1/amd. As for the energy of formation: 0.7767 eV/atom.

Compound: LaLuZnCo
Source: Alexandria
Functional: PBE
Structure: optimized geometry

```
LaLuZnCo
1.0
4.9578 0.0000 0.0000
2.4789 4.2936 0.0000
2.4789 1.4312 4.0481
Zn Lu Co La
1 1 1 1
Cartesian
0.0000 0.0000 0.0000 Zn
7.4368 4.2936 3.0360 Lu
4.9578 2.8624 2.0240 Co
2.4789 1.4312 1.0120 La
```

Summary:
The space-group type is F-43m. As for the energy of formation: -0.1692 eV/atom.

Compound: Pm2Nd3ErAs6
Source: Alexandria
Functional: PBE
Structure: optimized geometry

```
Pm2Nd3ErAs6
1.0
4.2334 0.0000 0.0000
0.0000 8.4541 0.3021
-2.1167 -2.4344 8.8907
Pm Nd Er As
2 3 1 6
Cartesian
2.1167 4.0181 6.1446 Pm
0.0000 2.0015 3.0482 Pm
2.1167 4.2270 0.1511 Nd
2.1167 -0.2179 5.9695 Nd
0.0000 6.2375 3.2233 Nd
2.1167 0.0000 0.0000 Er
0.0000 6.1147 6.2580 As
2.1167 4.1088 3.1483 As
2.1167 -0.0951 2.9348 As
2.1167 -0.3882 8.9626 As
0.0000 6.4078 0.2302 As
0.0000 1.9108 6.0444 As
```

Summary:
The space-group type is C2/m. As for the energy of formation: -1.5116 eV/atom.

Compound: SiIrSe2N
Source: Alexandria
Functional: PBE
Structure: optimized geometry

```
SiIrSe2N
1.0
-3.9380 3.0128 -0.5264
-1.0989 -2.1946 -4.3402
-1.8291 -2.1224 1.5363
Si Ir Se N
1 1 2 1
Cartesian
0.0000 0.0000 0.0000 Si
-3.4330 -0.6521 -1.6651 Ir
-0.5495 -1.0973 -2.1701 Se
-1.9690 1.5064 -0.2632 Se
-0.9145 -1.0612 0.7681 N
```

Summary:
The space-group type is P4/mmm. The distance to the lowest polymorph of the same formula comes out at 0.040 eV per atom. The uncorrected formation energy is 2.956 eV/f.u.

Compound: SrAg2O2
Source: Alexandria
Functional: PBE
Structure: optimized geometry

```
SrAg2O2
1.0
6.5752 0.1611 0.2324
-2.8925 5.3705 0.1741
-2.8925 -1.7220 5.0899
Sr Ag O
2 4 4
Cartesian
-1.2487 4.6992 0.7254 Sr
2.0389 -0.8897 4.7711 Sr
-2.8925 1.8242 2.6320 Ag
-1.4462 -0.8610 2.5450 Ag
0.3951 1.9048 2.7482 Ag
1.8414 2.7658 0.2033 Ag
0.2964 1.4282 0.7054 O
0.4938 2.3813 4.7911 O
-2.7938 3.5699 3.7953 O
3.5840 0.2397 1.7012 O
```

Summary:
The space-group type is C2/c. The distance to the lowest polymorph of the same formula comes out at 0.000 eV per atom. The uncorrected formation energy is -5.719 eV/f.u.

Compound: CoPRu
Source: Alexandria
Functional: PBE
Structure: optimized geometry

```
CoPRu
1.0
-0.8050 0.2505 3.8401
2.7179 -1.0257 2.6493
1.7413 2.7559 2.1979
Co P Ru
1 1 1
Cartesian
0.0000 0.0000 0.0000 Co
1.8270 0.9903 4.3437 P
2.7406 1.4855 6.5155 Ru
```

Summary:
The space-group type is F-43m. As for the energy of formation: -0.0230 eV/atom.

Compound: Mg4Sc3Cd
Source: Alexandria
Functional: PBE
Structure: optimized geometry

```
Mg4Sc3Cd
1.0
-3.1078 -1.6350 -0.8595
1.4334 -1.0737 -3.1405
4.4749 -11.6779 6.0351
Sc Mg Cd
3 4 1
Cartesian
0.2832 -4.2781 -0.4890 Sc
1.4003 -7.1933 1.0175 Sc
2.5174 -10.1086 2.5241 Sc
3.9469 -10.3000 5.3230 Mg
0.5280 -1.3779 0.7121 Mg
1.6737 -4.3678 2.2572 Mg
2.8012 -7.3101 3.7778 Mg
-0.8372 -1.3544 -2.0000 Cd
```

Summary:
The space-group type is P4/mmm. As for the energy of formation: -0.0655 eV/atom.

Compound: CaCeIr
Source: Alexandria
Functional: PBE
Structure: optimized geometry

```
CaCeIr
1.0
-2.5105 -2.7767 3.1029
-2.9899 -3.4418 -1.6896
1.1471 -4.6943 0.5368
Ca Ir Ce
1 1 1
Cartesian
0.0000 0.0000 0.0000 Ca
-1.0883 -2.7282 0.4875 Ir
-2.1766 -5.4564 0.9750 Ce
```

Summary:
The space-group type is F-43m. The distance to the lowest polymorph of the same formula comes out at 0.054 eV per atom. As for the energy of formation: -0.3702 eV/atom.

Compound: ZnFeTc
Source: Alexandria
Functional: PBE
Structure: optimized geometry

```
ZnFeTc
1.0
4.5969 0.0016 -0.0086
2.3317 3.9617 0.0086
-3.0894 -2.6371 2.1525
Fe Tc Zn
1 1 1
Cartesian
6.9127 3.9542 0.0000 Fe
2.3450 1.3414 0.0000 Tc
4.5996 2.6311 0.0000 Zn
```

Summary:
The space-group type is Imm2. The distance to the lowest polymorph of the same formula comes out at 0.087 eV per atom. As for the energy of formation: 0.1441 eV/atom.

Compound: MoP2Pd
Source: Alexandria
Functional: PBE
Structure: optimized geometry

```
MoP2Pd
1.0
-2.7532 4.6397 0.5796
-2.6734 -1.0102 -4.6126
-6.4992 -0.7768 0.7454
P Mo Pd
4 2 2
Cartesian
-3.6653 2.5550 -0.0310 P
-3.6543 -0.2212 -2.6210 P
-6.9234 0.7732 -0.9776 P
-9.6086 2.5986 -2.9456 P
-2.7133 1.8148 -2.0165 Mo
-5.9429 0.0139 -2.9418 Mo
0.0000 0.0000 0.0000 Pd
-5.9828 2.8389 -0.3458 Pd
```

Summary:
The space-group type is I-42d. As for the energy of formation: -0.0585 eV/atom.

Compound: ReHgW2
Source: Alexandria
Functional: PBE
Structure: optimized geometry

```
ReHgW2
1.0
-3.0811 0.7564 -2.9001
-1.9437 -0.2729 1.9939
-1.2746 5.3700 2.7547
Hg Re W
1 1 2
Cartesian
-1.5885 2.5410 2.3503 Hg
-4.1298 4.3811 2.3448 Re
-1.2716 5.3373 2.7430 W
-2.1932 1.5128 -0.4607 W
```

Summary:
The space-group type is Pm. As for the energy of formation: 0.5986 eV/atom.

Compound: MnZnN
Source: Alexandria
Functional: PBE
Structure: optimized geometry

```
MnZnN
1.0
-1.8564 0.4586 2.0956
-0.9278 -0.4686 -2.6396
-0.1640 -4.9138 0.9300
Mn Zn N
1 1 1
Cartesian
-1.6064 -1.6338 0.8547 Mn
-1.3923 -4.8007 -0.1828 Zn
-1.3267 -2.8345 -0.5549 N
```

Summary:
The space-group type is P3m1. The distance to the lowest polymorph of the same formula comes out at 0.037 eV per atom. The uncorrected formation energy is -0.317 eV/f.u.

Compound: LiPuNpN3
Source: Alexandria
Functional: PBE
Structure: optimized geometry

```
LiPuNpN3
1.0
3.2755 0.0000 0.0000
0.0000 7.1878 0.3432
0.0000 -1.5543 6.5638
Li Pu Np N
2 2 2 6
Cartesian
0.8189 -0.3375 3.8672 Li
2.4567 5.9711 3.0398 Li
0.8189 4.3944 1.5190 Pu
2.4567 1.2392 5.3880 Pu
0.8189 0.9564 1.4311 Np
2.4567 4.6771 5.4759 Np
2.4567 6.1025 1.1221 N
0.8189 -0.4689 5.7849 N
0.8189 4.9627 3.7921 N
2.4567 0.6708 3.1149 N
2.4567 2.7127 1.0820 N
0.8189 2.9208 5.8250 N
```

Summary:
The space-group type is P2_1/m. The uncorrected formation energy is -5.389 eV/f.u.

Compound: Gd2HoZn
Source: Alexandria
Functional: PBE
Structure: optimized geometry

```
Gd2HoZn
1.0
-3.2602 -4.2414 0.1019
0.0158 -3.4846 -4.0603
2.0156 -4.9075 0.6941
Zn Gd Ho
1 2 1
Cartesian
-0.6144 -6.3167 -1.6322 Zn
-0.3072 -3.1584 -0.8161 Gd
-0.9216 -9.4751 -2.4482 Gd
0.0000 0.0000 0.0000 Ho
```

Summary:
The space-group type is Fm-3m. The distance to the lowest polymorph of the same formula comes out at 0.175 eV per atom. As for the energy of formation: 0.0241 eV/atom.

Number 1: mass density 2.5 g/cm³, magnetization 0.000 μB/f.u.. Number 2: mass density 6.6 g/cm³, magnetization 0.627 μB/f.u.. Number 3: mass density 3.6 g/cm³, magnetization 0.000 μB/f.u.. Number 4: mass density 8.6 g/cm³, magnetization 0.813 μB/f.u.. Number 5: mass density 12.0 g/cm³, magnetization 0.000 μB/f.u.. Number 6: mass density 6.8 g/cm³, magnetization 0.000 μB/f.u.. Number 7: mass density 5.5 g/cm³, magnetization 0.000 μB/f.u.. Number 8: mass density 2.2 g/cm³, magnetization 0.001 μB/f.u.. Number 9: mass density 9.6 g/cm³, magnetization 7.624 μB/f.u.. Number 10: mass density 4.1 g/cm³, magnetization 0.000 μB/f.u.. Number 11: mass density 8.7 g/cm³, magnetization 0.000 μB/f.u.. Number 12: mass density 7.4 g/cm³, magnetization 0.000 μB/f.u.. Number 13: mass density 7.5 g/cm³, magnetization 0.000 μB/f.u.. Number 14: mass density 8.4 g/cm³, magnetization 0.000 μB/f.u.. Number 15: mass density 6.9 g/cm³, magnetization 0.000 μB/f.u.. Number 16: mass density 8.2 g/cm³, magnetization 0.000 μB/f.u.. Number 17: mass density 5.9 g/cm³, magnetization 0.000 μB/f.u.. Number 18: mass density 7.4 g/cm³, magnetization 1.577 μB/f.u.. Number 19: mass density 3.2 g/cm³, magnetization 0.003 μB/f.u.. Number 20: mass density 7.6 g/cm³, magnetization 0.902 μB/f.u.. Number 21: mass density 9.3 g/cm³, magnetization 1.457 μB/f.u.. Number 22: mass density 5.6 g/cm³, magnetization 0.000 μB/f.u.. Number 23: mass density 18.2 g/cm³, magnetization 0.000 μB/f.u.. Number 24: mass density 6.4 g/cm³, magnetization 1.889 μB/f.u.. Number 25: mass density 11.3 g/cm³, magnetization 7.000 μB/f.u.. Number 26: mass density 8.4 g/cm³, magnetization 14.922 μB/f.u..